Entry 1:
Entry from Alexandria: a relaxed YGeP crystal (PBE-GGA).

Cell: 3.678 5.305 8.676 Å, 125.85 90.00 110.28°
Positions (direct):
1 Y 0.762 0.524 0.807
2 Y 0.238 0.476 0.193
3 Ge 0.071 0.142 0.414
4 Ge 0.929 0.858 0.586
5 P 0.491 0.982 0.137
6 P 0.509 0.018 0.863

Its density of states at the Fermi level is 3.2 states/eV per cell. The energy relative to the elements comes out at -0.67 eV per atom. Its raw total energy is -6.17 eV per atom. For the density, the calculation gives 5.2 g/cm³.

Entry 2:
Entry from Alexandria: a relaxed SmScZnCu crystal (PBE-GGA).

Cell: 3.436 3.436 6.962 Å, 90.00 90.00 90.00°
Positions (direct):
1 Sm 0.500 0.500 0.112
2 Sc 0.500 0.500 0.598
3 Zn 0.000 0.000 0.821
4 Cu 0.000 0.000 0.397

Its density of states at the Fermi level is 4.2 states/eV per cell. The energy relative to the elements comes out at -0.26 eV per atom. The value obtained for the energy above the most stable polymorph in this dataset is 0 meV/atom. Its raw total energy is -4.37 eV per atom. For the density, the calculation gives 6.6 g/cm³.

Entry 3:
Entry from Alexandria: a relaxed Tl2ZnSiS4 crystal (PBE-GGA).

Cell: 6.977 6.976 6.449 Å, 122.74 122.74 90.02°
Positions (direct):
1 Tl 0.486 0.986 0.971
2 Tl 0.236 0.236 0.471
3 Zn 0.986 0.486 0.972
4 Si 0.736 0.736 0.472
5 S 0.727 0.642 0.735
6 S 0.830 0.464 0.209
7 S 0.379 0.745 0.209
8 S 0.008 0.093 0.735

Its density of states at the Fermi level is 0.0 states/eV per cell. The value obtained for the formation energy (no corrections) is -0.59 eV per atom. Its raw total energy is -4.08 eV per atom. For the density, the calculation gives 5.2 g/cm³.

Entry 4:
Entry from Alexandria: a relaxed PRh2N crystal (PBE-GGA).

Cell: 4.046 4.046 4.046 Å, 60.00 60.00 60.00°
Each line ends with the local moment (μB).
Positions (direct):
1 P 0.500 0.500 0.500  0.00
2 Rh 0.250 0.250 0.250  0.31
3 Rh 0.750 0.750 0.750  0.31
4 N 0.000 0.000 0.000  0.13

Its density of states at the Fermi level is 4.6 states/eV per cell. The value obtained for the formation energy (no corrections) is 0.50 eV per atom. The value obtained for the energy above the most stable polymorph in this dataset is 495 meV/atom. Its raw total energy is -6.61 eV per atom. For the density, the calculation gives 8.9 g/cm³.

Entry 5:
Entry from Alexandria: a relaxed EuAlGaHg crystal (PBE-GGA).

Cell: 5.043 5.043 5.043 Å, 60.00 60.00 60.00°
Each line ends with the local moment (μB).
Positions (direct):
1 Eu 0.750 0.750 0.750  6.78
2 Hg 0.000 0.000 0.000  0.00
3 Ga 0.500 0.500 0.500  0.01
4 Al 0.250 0.250 0.250  -0.01

Its density of states at the Fermi level is 1.1 states/eV per cell. The energy relative to the elements comes out at -0.29 eV per atom. Its raw total energy is -4.63 eV per atom. For the density, the calculation gives 8.2 g/cm³.

Entry 6:
Entry from Alexandria: a relaxed Ba8Tl3AsI4 crystal (PBE-GGA).

Cell: 9.767 10.583 9.766 Å, 117.50 120.00 90.00°
Positions (direct):
1 Ba 0.232 0.720 0.988
2 Ba 0.232 0.720 0.464
3 Ba 0.254 0.262 0.508
4 Ba 0.756 0.720 0.988
5 Ba 0.244 0.280 0.012
6 Ba 0.746 0.738 0.492
7 Ba 0.768 0.280 0.536
8 Ba 0.768 0.280 0.012
9 Tl 0.500 0.500 0.000
10 Tl 0.500 0.500 0.500
11 Tl 0.000 0.500 0.500
12 As 0.000 0.500 0.000
13 I 0.500 0.000 0.000
14 I 0.500 0.000 0.500
15 I 0.000 0.000 0.000
16 I 0.000 0.000 0.500

Its density of states at the Fermi level is 18.2 states/eV per cell. The value obtained for the formation energy (no corrections) is -0.96 eV per atom. Its raw total energy is -3.04 eV per atom. For the density, the calculation gives 5.2 g/cm³.

Entry 7:
Entry from Alexandria: a relaxed Tb3Tm12Cd crystal (PBE-GGA).

Cell: 4.905 4.905 19.786 Å, 90.00 90.00 90.00°
Positions (direct):
1 Tb 0.000 0.000 0.248
2 Tb 0.000 0.000 0.500
3 Tb 0.000 0.000 0.752
4 Tm 0.500 0.500 0.000
5 Tm 0.500 0.500 0.244
6 Tm 0.500 0.500 0.500
7 Tm 0.500 0.500 0.756
8 Tm 0.500 0.000 0.121
9 Tm 0.500 0.000 0.373
10 Tm 0.500 0.000 0.627
11 Tm 0.500 0.000 0.879
12 Tm 0.000 0.500 0.121
13 Tm 0.000 0.500 0.373
14 Tm 0.000 0.500 0.627
15 Tm 0.000 0.500 0.879
16 Cd 0.000 0.000 0.000

Its density of states at the Fermi level is 19.0 states/eV per cell. The energy relative to the elements comes out at 0.00 eV per atom. Its raw total energy is -4.28 eV per atom. For the density, the calculation gives 9.1 g/cm³.

Entry 8:
Entry from Alexandria: a relaxed UPaPdS4 crystal (PBE-GGA).

Cell: 6.420 6.357 7.385 Å, 90.00 106.12 90.00°
Each line ends with the local moment (μB).
Positions (direct):
1 U 0.787 0.750 0.949  2.12
2 U 0.213 0.250 0.051  2.12
3 Pa 0.778 0.750 0.446  0.46
4 Pa 0.222 0.250 0.554  0.46
5 Pd 0.243 0.750 0.319  -0.08
6 Pd 0.757 0.250 0.681  -0.08
7 S 0.030 0.517 0.757  -0.06
8 S 0.970 0.017 0.243  -0.06
9 S 0.970 0.483 0.243  -0.06
10 S 0.030 0.983 0.757  -0.06
11 S 0.471 0.750 0.113  -0.05
12 S 0.529 0.250 0.887  -0.05
13 S 0.470 0.750 0.630  -0.04
14 S 0.530 0.250 0.370  -0.04

Its density of states at the Fermi level is 13.1 states/eV per cell. The value obtained for the formation energy (no corrections) is -1.21 eV per atom. Its raw total energy is -7.28 eV per atom. For the density, the calculation gives 8.1 g/cm³.

Entry 9:
Entry from Alexandria: a relaxed Mg3Hg crystal (PBE-GGA).

Cell: 5.449 5.449 12.859 Å, 150.88 150.88 35.60°
Positions (direct):
1 Mg 0.983 0.983 0.243
2 Mg 0.000 0.000 0.500
3 Mg 0.017 0.017 0.757
4 Hg 0.000 0.000 0.000

Its density of states at the Fermi level is 1.4 states/eV per cell. The energy relative to the elements comes out at -0.11 eV per atom. Its raw total energy is -1.38 eV per atom. For the density, the calculation gives 5.1 g/cm³.

Entry 10:
Entry from Alexandria: a relaxed MgSiNiPd crystal (PBE-GGA).

Cell: 4.250 4.250 4.250 Å, 60.00 60.00 60.00°
Positions (direct):
1 Ni 0.250 0.250 0.250
2 Si 0.500 0.500 0.500
3 Mg 0.000 0.000 0.000
4 Pd 0.750 0.750 0.750

Its density of states at the Fermi level is 2.5 states/eV per cell. The value obtained for the formation energy (no corrections) is -0.46 eV per atom. Its raw total energy is -4.96 eV per atom. For the density, the calculation gives 6.7 g/cm³.

Entry 11:
Entry from Alexandria: a relaxed ScInTeN2 crystal (PBE-GGA).

Cell: 4.285 4.285 6.327 Å, 90.00 90.00 90.00°
Each line ends with the local moment (μB).
Positions (direct):
1 Sc 0.500 0.500 0.500  -0.35
2 N 0.000 0.500 0.000  0.85
3 N 0.500 0.000 0.000  0.85
4 Te 0.000 0.000 0.500  0.07
5 In 0.000 0.000 0.000  -0.02

Its density of states at the Fermi level is 2.9 states/eV per cell. The value obtained for the formation energy (no corrections) is 0.95 eV per atom. The value obtained for the energy above the most stable polymorph in this dataset is 458 meV/atom. Its raw total energy is -4.82 eV per atom. For the density, the calculation gives 4.5 g/cm³.

Entry 12:
Entry from Alexandria: a relaxed NaS2Cl6 crystal (PBE-GGA).

Cell: 6.933 6.933 8.030 Å, 64.43 64.43 60.00°
Each line ends with the local moment (μB).
Positions (direct):
1 Na 0.333 0.333 0.002  0.00
2 S 0.743 0.743 0.772  0.25
3 S 0.591 0.591 0.228  0.24
4 Cl 0.744 0.424 0.765  0.04
5 Cl 0.067 0.744 0.765  0.04
6 Cl 0.424 0.067 0.765  0.04
7 Cl 0.266 0.590 0.235  0.04
8 Cl 0.909 0.266 0.235  0.04
9 Cl 0.590 0.909 0.235  0.04

Its density of states at the Fermi level is 0.3 states/eV per cell. The value obtained for the formation energy (no corrections) is -0.35 eV per atom. Its raw total energy is -2.64 eV per atom. For the density, the calculation gives 1.7 g/cm³.

Entry 13:
Entry from Alexandria: a relaxed La9NdTh4 crystal (PBE-GGA).

Cell: 11.108 10.258 10.258 Å, 120.00 90.00 90.00°
Positions (direct):
1 La 0.045 0.802 0.604
2 La 0.045 0.802 0.198
3 La 0.045 0.396 0.198
4 La 0.955 0.198 0.396
5 La 0.955 0.198 0.802
6 La 0.955 0.604 0.802
7 La 0.545 0.198 0.396
8 La 0.545 0.198 0.802
9 La 0.545 0.604 0.802
10 La 0.455 0.802 0.604
11 La 0.455 0.802 0.198
12 La 0.455 0.396 0.198
13 La 0.250 0.458 0.916
14 La 0.250 0.458 0.542
15 La 0.250 0.084 0.542
16 La 0.750 0.542 0.084
17 La 0.750 0.542 0.458
18 La 0.750 0.916 0.458
19 Nd 0.250 0.667 0.333
20 Nd 0.750 0.333 0.667
21 Th 0.250 0.111 0.223
22 Th 0.250 0.111 0.889
23 Th 0.250 0.777 0.889
24 Th 0.750 0.889 0.777
25 Th 0.750 0.889 0.111
26 Th 0.750 0.223 0.111
27 Th 0.000 0.000 0.000
28 Th 0.500 0.000 0.000

Its density of states at the Fermi level is 46.9 states/eV per cell. The energy relative to the elements comes out at 0.11 eV per atom. Its raw total energy is -5.51 eV per atom. For the density, the calculation gives 7.6 g/cm³.

Entry 14:
Entry from Alexandria: a relaxed CsThRhS3 crystal (PBE-GGA).

Cell: 4.122 9.463 9.775 Å, 111.07 90.00 90.00°
Positions (direct):
1 Cs 0.250 0.206 0.244
2 Cs 0.750 0.794 0.756
3 Th 0.250 0.685 0.165
4 Th 0.750 0.315 0.835
5 Rh 0.250 0.086 0.585
6 Rh 0.750 0.914 0.415
7 S 0.750 0.871 0.147
8 S 0.250 0.129 0.853
9 S 0.250 0.817 0.469
10 S 0.750 0.183 0.531
11 S 0.750 0.471 0.148
12 S 0.250 0.529 0.852

Its density of states at the Fermi level is 5.7 states/eV per cell. The value obtained for the formation energy (no corrections) is -1.36 eV per atom. Its raw total energy is -6.03 eV per atom. For the density, the calculation gives 5.3 g/cm³.

Entry 15:
Entry from Alexandria: a relaxed BaCrNi crystal (PBE-GGA).

Cell: 3.643 3.794 10.772 Å, 79.93 90.14 90.01°
Positions (direct):
1 Cr 0.295 0.608 0.518
2 Cr 0.794 0.668 0.398
3 Ba 0.187 0.793 0.141
4 Ba 0.691 0.477 0.774
5 Ni 0.322 0.177 0.379
6 Ni 0.823 0.098 0.537

Its density of states at the Fermi level is 4.7 states/eV per cell. The energy relative to the elements comes out at 0.42 eV per atom. The value obtained for the energy above the most stable polymorph in this dataset is 154 meV/atom. Its raw total energy is -5.36 eV per atom. For the density, the calculation gives 5.6 g/cm³.

Entry 16:
Entry from Alexandria: a relaxed CrNi4H6 crystal (PBE-GGA).

Cell: 2.659 4.558 12.205 Å, 90.00 90.00 106.95°
Each line ends with the local moment (μB).
Positions (direct):
1 Cr 0.672 0.344 0.250  2.25
2 Cr 0.328 0.656 0.750  2.25
3 Ni 0.862 0.724 0.552  0.09
4 Ni 0.408 0.816 0.134  0.11
5 Ni 0.138 0.276 0.448  0.09
6 Ni 0.592 0.184 0.866  0.11
7 Ni 0.862 0.724 0.948  0.09
8 Ni 0.138 0.276 0.052  0.09
9 Ni 0.592 0.184 0.634  0.11
10 Ni 0.408 0.816 0.366  0.11
11 H 0.500 0.000 0.000  0.00
12 H 0.500 0.000 0.500  0.00
13 H 0.045 0.089 0.329  -0.01
14 H 0.955 0.911 0.671  -0.01
15 H 0.955 0.911 0.829  -0.01
16 H 0.045 0.089 0.171  -0.01
17 H 0.776 0.552 0.411  -0.01
18 H 0.224 0.448 0.589  -0.01
19 H 0.224 0.448 0.911  -0.01
20 H 0.776 0.552 0.089  -0.01
21 H 0.314 0.627 0.250  -0.01
22 H 0.686 0.373 0.750  -0.01

Its density of states at the Fermi level is 11.6 states/eV per cell. Its raw total energy is -4.81 eV per atom. For the density, the calculation gives 6.9 g/cm³.

Entry 17:
Entry from Alexandria: a relaxed Ce5Pu2Ru5 crystal (PBE-GGA).

Cell: 3.926 6.601 12.800 Å, 121.67 90.00 107.30°
Each line ends with the local moment (μB).
Positions (direct):
1 Ce 0.500 0.000 0.500  0.42
2 Ce 0.633 0.265 0.982  0.31
3 Ce 0.683 0.366 0.300  0.32
4 Ce 0.317 0.634 0.700  0.32
5 Ce 0.367 0.735 0.018  0.31
6 Pu 0.071 0.142 0.764  4.93
7 Pu 0.929 0.858 0.236  4.93
8 Ru 0.147 0.294 0.444  -0.25
9 Ru 0.731 0.461 0.791  -0.26
10 Ru 0.269 0.539 0.209  -0.26
11 Ru 0.853 0.706 0.556  -0.25
12 Ru 0.000 0.000 0.000  -0.05

Its density of states at the Fermi level is 21.9 states/eV per cell. The energy relative to the elements comes out at -0.22 eV per atom. The value obtained for the energy above the most stable polymorph in this dataset is 0 meV/atom. Its raw total energy is -8.95 eV per atom. For the density, the calculation gives 10.6 g/cm³.

Entry 18:
Entry from Alexandria: a relaxed RbCaAcO3 crystal (PBE-GGA).

Cell: 3.796 7.918 10.036 Å, 90.09 90.00 90.00°
Positions (direct):
1 Rb 0.750 0.880 0.795
2 Rb 0.250 0.120 0.205
3 Ca 0.250 0.148 0.557
4 Ca 0.750 0.852 0.443
5 Ac 0.250 0.596 0.146
6 Ac 0.750 0.404 0.854
7 O 0.250 0.860 0.561
8 O 0.750 0.767 0.223
9 O 0.750 0.390 0.090
10 O 0.750 0.140 0.439
11 O 0.250 0.610 0.910
12 O 0.250 0.233 0.777

Its density of states at the Fermi level is 0.0 states/eV per cell. The value obtained for the formation energy (no corrections) is -2.47 eV per atom. Its raw total energy is -6.13 eV per atom. For the density, the calculation gives 4.4 g/cm³.

Entry 19:
Entry from Alexandria: a relaxed Ac8Ir3RhSe4 crystal (PBE-GGA).

Cell: 8.685 9.128 8.684 Å, 118.42 120.01 90.00°
Positions (direct):
1 Ac 0.242 0.723 0.982
2 Ac 0.242 0.723 0.483
3 Ac 0.259 0.277 0.518
4 Ac 0.740 0.723 0.982
5 Ac 0.260 0.277 0.018
6 Ac 0.741 0.723 0.482
7 Ac 0.758 0.277 0.517
8 Ac 0.758 0.277 0.018
9 Ir 0.500 0.500 0.000
10 Ir 0.500 0.500 0.500
11 Ir 0.000 0.500 0.500
12 Rh 0.000 0.500 0.000
13 Se 0.500 0.000 0.000
14 Se 0.500 0.000 0.500
15 Se 0.000 0.000 0.000
16 Se 0.000 0.000 0.500

Its density of states at the Fermi level is 9.4 states/eV per cell. The value obtained for the formation energy (no corrections) is -1.27 eV per atom. Its raw total energy is -6.31 eV per atom. For the density, the calculation gives 9.4 g/cm³.

Entry 20:
Entry from Alexandria: a relaxed MnNi4Au crystal (PBE-GGA).

Cell: 4.748 4.748 4.748 Å, 60.00 60.00 60.00°
Each line ends with the local moment (μB).
Positions (direct):
1 Au 0.750 0.750 0.750  -0.01
2 Mn 0.000 0.000 0.000  3.70
3 Ni 0.375 0.375 0.375  0.33
4 Ni 0.375 0.875 0.375  0.33
5 Ni 0.375 0.375 0.875  0.33
6 Ni 0.875 0.375 0.375  0.33

Its density of states at the Fermi level is 5.6 states/eV per cell. The energy relative to the elements comes out at 0.00 eV per atom. Its raw total energy is -5.93 eV per atom. For the density, the calculation gives 10.7 g/cm³.

Entry 21:
Entry from Alexandria: a relaxed SrDyCd2In2 crystal (PBE-GGA).

Cell: 4.976 4.976 7.814 Å, 90.00 90.00 120.00°
Positions (direct):
1 Sr 0.000 0.000 0.000
2 Dy 0.000 0.000 0.500
3 Cd 0.667 0.333 0.292
4 Cd 0.333 0.667 0.708
5 In 0.667 0.333 0.714
6 In 0.333 0.667 0.286

Its density of states at the Fermi level is 3.1 states/eV per cell. The energy relative to the elements comes out at -0.41 eV per atom. Its raw total energy is -2.67 eV per atom. For the density, the calculation gives 7.0 g/cm³.

Entry 22:
Entry from Alexandria: a relaxed Sn3BrN crystal (PBE-GGA).

Cell: 5.566 5.566 5.566 Å, 90.00 90.00 90.00°
Positions (direct):
1 Sn 0.000 0.500 0.000
2 Sn 0.000 0.000 0.500
3 Sn 0.500 0.000 0.000
4 Br 0.000 0.000 0.000
5 N 0.500 0.500 0.500

Its density of states at the Fermi level is 4.4 states/eV per cell. The value obtained for the formation energy (no corrections) is 1.75 eV per atom. The value obtained for the energy above the most stable polymorph in this dataset is 1245 meV/atom. Its raw total energy is -2.65 eV per atom. For the density, the calculation gives 4.3 g/cm³.

Entry 23:
Entry from Alexandria: a relaxed LaScIn crystal (PBE-GGA).

Cell: 7.247 7.247 3.529 Å, 75.91 75.91 28.19°
Positions (direct):
1 In 0.014 0.014 0.986
2 La 0.337 0.337 0.663
3 Sc 0.649 0.649 0.351

Its density of states at the Fermi level is 3.3 states/eV per cell. The energy relative to the elements comes out at -0.26 eV per atom. The value obtained for the energy above the most stable polymorph in this dataset is 82 meV/atom. Its raw total energy is -4.93 eV per atom. For the density, the calculation gives 5.9 g/cm³.